Version 1
# HfMn2Fe, optimized geometry, DFT PBE-GGA
data_HfMn2Fe
_cell_length_a 5.980
_cell_length_b 5.980
_cell_length_c 5.980
_cell_angle_alpha 90.00
_cell_angle_beta 90.00
_cell_angle_gamma 90.00
_space_group_name_H-M_alt 'F m -3 m'
_space_group_IT_number 225
_space_group_name_Hall '-F 4 2 3'
loop_
_atom_site_label
_atom_site_type_symbol
_atom_site_fract_x
_atom_site_fract_y
_atom_site_fract_z
Hf1 Hf 0.000 0.000 0.000
Mn1 Mn 0.250 0.250 0.250
Fe1 Fe 0.000 0.000 0.500
# V: 213.8 Å³/cell
# Magnetic moment: 13.13 μB per cell

Version 2
# HfMn2Fe, optimized geometry, DFT PBE-GGA
data_HfMn2Fe
_cell_length_a 3.561
_cell_length_b 3.561
_cell_length_c 18.316
_cell_angle_alpha 90.00
_cell_angle_beta 90.00
_cell_angle_gamma 90.00
_space_group_name_H-M_alt 'I -4 2 d'
_space_group_IT_number 122
_space_group_name_Hall 'I -4 2bw'
loop_
_atom_site_label
_atom_site_type_symbol
_atom_site_fract_x
_atom_site_fract_y
_atom_site_fract_z
Hf1 Hf 0.000 0.000 0.000
Mn1 Mn 0.172 0.250 0.625
Fe1 Fe 0.000 0.000 0.500
# V: 232.3 Å³/cell
# Magnetic moment: 10.41 μB per cell

Version 3
# HfMn2Fe, optimized geometry, DFT PBE-GGA
data_HfMn2Fe
_cell_length_a 8.961
_cell_length_b 4.763
_cell_length_c 8.946
_cell_angle_alpha 90.00
_cell_angle_beta 90.11
_cell_angle_gamma 90.00
_space_group_name_H-M_alt 'P 1 2/c 1'
_space_group_IT_number 13
loop_
_space_group_symop_operation_xyz
'x,y,z'
'-x,-y,-z'
'-x,y,-z+1/2'
'x,-y,z+1/2'
loop_
_atom_site_label
_atom_site_type_symbol
_atom_site_fract_x
_atom_site_fract_y
_atom_site_fract_z
Hf1 Hf 0.000 0.124 0.250
Hf2 Hf 0.500 0.375 0.250
Mn1 Mn 0.000 0.500 0.000
Mn2 Mn 0.250 0.251 0.750
Mn3 Mn 0.500 0.000 0.000
Fe1 Fe 0.000 0.376 0.750
Fe2 Fe 0.500 0.125 0.750
# V: 381.8 Å³/cell
# Magnetic moment: 30.75 μB per cell

Referenced to the most stable arrangement, the calculated values in kJ/mol of atoms are version 1 0.0; version 2 38.1; version 3 110.5.

Version 1
# YHfMnFe2, optimized geometry, DFT PBE-GGA
data_YHfMnFe2
_cell_length_a 4.378
_cell_length_b 4.378
_cell_length_c 5.086
_cell_angle_alpha 90.00
_cell_angle_beta 90.00
_cell_angle_gamma 90.00
_space_group_name_H-M_alt 'P 4/m m m'
_space_group_IT_number 123
_space_group_name_Hall '-P 4 2'
loop_
_atom_site_label
_atom_site_type_symbol
_atom_site_fract_x
_atom_site_fract_y
_atom_site_fract_z
Y1 Y 0.000 0.000 0.000
Hf1 Hf 0.000 0.000 0.500
Mn1 Mn 0.500 0.500 0.500
Fe1 Fe 0.000 0.500 0.000
# V: 97.5 Å³/cell
# Magnetic moment: 0.06 μB per cell

Version 2
# YHfMnFe2, optimized geometry, DFT PBE-GGA
data_YHfMnFe2
_cell_length_a 4.498
_cell_length_b 4.498
_cell_length_c 5.369
_cell_angle_alpha 90.00
_cell_angle_beta 90.00
_cell_angle_gamma 90.00
_space_group_name_H-M_alt 'P 4/m m m'
_space_group_IT_number 123
_space_group_name_Hall '-P 4 2'
loop_
_atom_site_label
_atom_site_type_symbol
_atom_site_fract_x
_atom_site_fract_y
_atom_site_fract_z
Y1 Y 0.000 0.000 0.000
Hf1 Hf 0.000 0.000 0.500
Mn1 Mn 0.500 0.500 0.000
Fe1 Fe 0.000 0.500 0.500
# V: 108.6 Å³/cell
# Magnetic moment: 3.93 μB per cell

Referenced to the most stable arrangement, the calculated values in kJ/mol of atoms are version 1 55.5; version 2 0.0.

Version 1
# HfFe2Mo, optimized geometry, DFT PBE-GGA
data_HfFe2Mo
_cell_length_a 6.140
_cell_length_b 6.140
_cell_length_c 6.140
_cell_angle_alpha 90.00
_cell_angle_beta 90.00
_cell_angle_gamma 90.00
_space_group_name_H-M_alt 'F m -3 m'
_space_group_IT_number 225
_space_group_name_Hall '-F 4 2 3'
loop_
_atom_site_label
_atom_site_type_symbol
_atom_site_fract_x
_atom_site_fract_y
_atom_site_fract_z
Hf1 Hf 0.000 0.000 0.000
Fe1 Fe 0.250 0.250 0.250
Mo1 Mo 0.000 0.000 0.500
# V: 231.4 Å³/cell
# Magnetic moment: 8.37 μB per cell

Version 2
# HfFe2Mo, optimized geometry, DFT PBE-GGA
data_HfFe2Mo
_cell_length_a 6.706
_cell_length_b 6.706
_cell_length_c 5.475
_cell_angle_alpha 90.00
_cell_angle_beta 90.00
_cell_angle_gamma 90.00
_space_group_name_H-M_alt 'I -4 2 d'
_space_group_IT_number 122
_space_group_name_Hall 'I -4 2bw'
loop_
_atom_site_label
_atom_site_type_symbol
_atom_site_fract_x
_atom_site_fract_y
_atom_site_fract_z
Hf1 Hf 0.000 0.000 0.000
Fe1 Fe 0.219 0.250 0.625
Mo1 Mo 0.000 0.000 0.500
# V: 246.2 Å³/cell
# Magnetic moment: 0.00 μB per cell

Referenced to the most stable arrangement, the calculated values in kJ/mol of atoms are version 1 0.0; version 2 48.7.

Version 1
# HfFe2N2, optimized geometry, DFT PBE-GGA
data_HfFe2N2
_cell_length_a 3.630
_cell_length_b 3.630
_cell_length_c 7.545
_cell_angle_alpha 90.00
_cell_angle_beta 90.00
_cell_angle_gamma 90.00
_space_group_name_H-M_alt 'I 4/m m m'
_space_group_IT_number 139
_space_group_name_Hall '-I 4 2'
loop_
_atom_site_label
_atom_site_type_symbol
_atom_site_fract_x
_atom_site_fract_y
_atom_site_fract_z
Hf1 Hf 0.000 0.000 0.000
Fe1 Fe 0.000 0.000 0.346
N1 N 0.000 0.500 0.250
# V: 99.4 Å³/cell
# Magnetic moment: 0.00 μB per cell

Version 2
# HfFe2N2, optimized geometry, DFT PBE-GGA
data_HfFe2N2
_cell_length_a 6.521
_cell_length_b 6.521
_cell_length_c 3.013
_cell_angle_alpha 90.00
_cell_angle_beta 90.00
_cell_angle_gamma 90.00
_space_group_name_H-M_alt 'P 4/m b m'
_space_group_IT_number 127
_space_group_name_Hall '-P 4 2ab'
loop_
_atom_site_label
_atom_site_type_symbol
_atom_site_fract_x
_atom_site_fract_y
_atom_site_fract_z
Hf1 Hf 0.000 0.000 0.000
Fe1 Fe 0.116 0.384 0.000
N1 N 0.209 0.291 0.500
# V: 128.1 Å³/cell
# Magnetic moment: 0.00 μB per cell

Referenced to the most stable arrangement, the calculated values in kJ/mol of atoms are version 1 0.0; version 2 55.4.

Version 1
# Hf4FeN2, optimized geometry, DFT PBE-GGA
data_Hf4FeN2
_cell_length_a 3.229
_cell_length_b 10.920
_cell_length_c 11.531
_cell_angle_alpha 90.00
_cell_angle_beta 90.00
_cell_angle_gamma 90.00
_space_group_name_H-M_alt 'C m c m'
_space_group_IT_number 63
_space_group_name_Hall '-C 2c 2'
loop_
_atom_site_label
_atom_site_type_symbol
_atom_site_fract_x
_atom_site_fract_y
_atom_site_fract_z
Hf1 Hf 0.000 0.000 0.000
Hf2 Hf 0.000 0.271 0.112
Hf3 Hf 0.000 0.433 0.750
Fe1 Fe 0.000 0.110 0.750
N1 N 0.000 0.366 0.558
# V: 406.6 Å³/cell
# Magnetic moment: 0.10 μB per cell

Version 2
# Hf4FeN2, optimized geometry, DFT PBE-GGA
data_Hf4FeN2
_cell_length_a 7.473
_cell_length_b 7.473
_cell_length_c 7.553
_cell_angle_alpha 90.00
_cell_angle_beta 90.00
_cell_angle_gamma 90.00
_space_group_name_H-M_alt 'I 41/a m d'
_space_group_IT_number 141
loop_
_space_group_symop_operation_xyz
'x,y,z'
'-x,-y,-z'
'-y+1/4,x+3/4,z+1/4'
'y+1/4,-x+3/4,-z+1/4'
'-x+1/2,-y,z+1/2'
'x+1/2,y,-z+1/2'
'y+1/4,-x+1/4,z+3/4'
'-y+1/4,x+1/4,-z+3/4'
'x,-y,-z'
'-x,y,z'
'-y+1/4,-x+1/4,-z+3/4'
'y+1/4,x+1/4,z+3/4'
'-x+1/2,y,-z+1/2'
'x+1/2,-y,z+1/2'
'y+1/4,x+3/4,-z+1/4'
'-y+1/4,-x+3/4,z+1/4'
'x+1/2,y+1/2,z+1/2'
'-x+1/2,-y+1/2,-z+1/2'
'-y+3/4,x+1/4,z+3/4'
'y+3/4,-x+1/4,-z+3/4'
'-x,-y+1/2,z'
'x,y+1/2,-z'
'y+3/4,-x+3/4,z+1/4'
'-y+3/4,x+3/4,-z+1/4'
'x+1/2,-y+1/2,-z+1/2'
'-x+1/2,y+1/2,z+1/2'
'-y+3/4,-x+3/4,-z+1/4'
'y+3/4,x+3/4,z+1/4'
'-x,y+1/2,-z'
'x,-y+1/2,z'
'y+3/4,x+1/4,-z+3/4'
'-y+3/4,-x+1/4,z+3/4'
loop_
_atom_site_label
_atom_site_type_symbol
_atom_site_fract_x
_atom_site_fract_y
_atom_site_fract_z
Hf1 Hf 0.000 0.059 0.213
Fe1 Fe 0.000 0.250 0.875
N1 N 0.000 0.000 0.500
# V: 421.8 Å³/cell
# Magnetic moment: 0.00 μB per cell

Referenced to the most stable arrangement, the calculated values in kJ/mol of atoms are version 1 0.0; version 2 23.8.

Version 1
# HfFeSN2, optimized geometry, DFT PBE-GGA
data_HfFeSN2
_cell_length_a 3.703
_cell_length_b 3.703
_cell_length_c 4.427
_cell_angle_alpha 90.00
_cell_angle_beta 90.00
_cell_angle_gamma 90.00
_space_group_name_H-M_alt 'P 4/m m m'
_space_group_IT_number 123
_space_group_name_Hall '-P 4 2'
loop_
_atom_site_label
_atom_site_type_symbol
_atom_site_fract_x
_atom_site_fract_y
_atom_site_fract_z
Hf1 Hf 0.000 0.000 0.000
Fe1 Fe 0.500 0.500 0.500
S1 S 0.500 0.500 0.000
N1 N 0.000 0.500 0.500
# V: 60.7 Å³/cell
# Magnetic moment: 2.00 μB per cell

Version 2
# HfFeSN2, optimized geometry, DFT PBE-GGA
data_HfFeSN2
_cell_length_a 4.050
_cell_length_b 4.050
_cell_length_c 5.197
_cell_angle_alpha 90.00
_cell_angle_beta 90.00
_cell_angle_gamma 90.00
_space_group_name_H-M_alt 'P 4/m m m'
_space_group_IT_number 123
_space_group_name_Hall '-P 4 2'
loop_
_atom_site_label
_atom_site_type_symbol
_atom_site_fract_x
_atom_site_fract_y
_atom_site_fract_z
Hf1 Hf 0.000 0.000 0.000
Fe1 Fe 0.500 0.500 0.500
S1 S 0.000 0.000 0.500
N1 N 0.000 0.500 0.000
# V: 85.2 Å³/cell
# Magnetic moment: 4.92 μB per cell

Referenced to the most stable arrangement, the calculated values in kJ/mol of atoms are version 1 0.0; version 2 28.9.